<P>
DFT (PBE-GGA) results for a geometry-optimized Er4TeSe3 structure.

For the density of states at the Fermi level, the calculation gives 3.20 states/eV/f.u. The total magnetization is 0.000 μB per atom.

The structure belongs to space group P6_3/mmc (No. 194); the cell edges are 4.0536, 4.0536 and 27.5261 Å and the angles 90.00°, 90.00° and 120.00°. The distinct sites, in fractional coordinates, are Er at (0.0000, 0.0000, 0.1767), Er at (0.3333, 0.6667, 0.0632), Te at (0.3333, 0.6667, 0.2500), Se at (0.0000, 0.0000, 0.0000) and Se at (0.3333, 0.6667, 0.6196).

***

<Q>
DFT (PBE-GGA) results for a geometry-optimized Er4TeSe3 structure.

For the density of states at the Fermi level, the calculation gives 2.85 states/eV/f.u. The total magnetization is 0.000 μB per atom.

The structure belongs to space group Pmmn (No. 59, origin choice 2); the cell edges are 5.783, 9.704 and 8.314 Å and the angles 90.00°, 90.00° and 90.00°. The distinct sites, in fractional coordinates, are Er at (0.250, 0.060, 0.148), Er at (0.250, 0.250, 0.759), Er at (0.250, 0.750, 0.619), Te at (0.250, 0.750, 0.253), Se at (0.250, 0.250, 0.411) and Se at (0.250, 0.536, 0.829).

***

<P> comes first in stability; the runner-up is 0.202 eV/atom higher.

***

<P>
DFT (PBE-GGA) results for a geometry-optimized Er3ThSe4 structure.

For the density of states at the Fermi level, the calculation gives 4.14 states/eV/f.u. The total magnetization is 0.000 μB per atom.

The structure belongs to space group P6_3/mmc (No. 194); the cell edges are 4.0045, 4.0045 and 27.7375 Å and the angles 90.00°, 90.00° and 120.00°. The distinct sites, in fractional coordinates, are Er at (0.0000, 0.0000, 0.0000), Er at (0.3333, 0.6667, 0.1212), Th at (0.3333, 0.6667, 0.7500), Se at (0.0000, 0.0000, 0.1804) and Se at (0.3333, 0.6667, 0.5603).

***

<Q>
DFT (PBE-GGA) results for a geometry-optimized Er3ThSe4 structure.

For the density of states at the Fermi level, the calculation gives 4.19 states/eV/f.u. The total magnetization is 0.000 μB per atom.

The structure belongs to space group Cmmm (No. 65); the cell edges are 8.272, 11.562 and 4.027 Å and the angles 90.00°, 90.00° and 90.00°. The distinct sites, in fractional coordinates, are Er at (0.000, 0.000, 0.000), Er at (0.250, 0.250, 0.500), Th at (0.000, 0.500, 0.000), Se at (0.000, 0.244, 0.000) and Se at (0.238, 0.000, 0.500).

***

<P> comes first in stability; the runner-up is 0.009 eV/atom higher.

***

<P>
DFT (PBE-GGA) results for a geometry-optimized ErThSe structure.

For the density of states at the Fermi level, the calculation gives 3.21 states/eV/f.u. The total magnetization is 0.091 μB per atom.

The structure belongs to space group F-43m (No. 216); the cell edges are 11.184, 11.184 and 11.184 Å and the angles 90.00°, 90.00° and 90.00°. The distinct sites, in fractional coordinates, are Er at (0.115, 0.115, 0.115), Th at (0.132, 0.132, 0.632) and Se at (0.131, 0.131, 0.369).

***

<Q>
DFT (PBE-GGA) results for a geometry-optimized ErThSe structure.

For the density of states at the Fermi level, the calculation gives 2.69 states/eV/f.u. The total magnetization is 0.256 μB per atom.

The structure belongs to space group P3m1 (No. 156); the cell edges are 3.8411, 3.8411 and 6.8204 Å and the angles 90.00°, 90.00° and 120.00°. The distinct sites, in fractional coordinates, are Er at (0.0000, 0.0000, 0.0000), Th at (0.3333, 0.6667, 0.5747) and Se at (0.6667, 0.3333, 0.2710).

***

<R>
DFT (PBE-GGA) results for a geometry-optimized ErThSe structure.

For the density of states at the Fermi level, the calculation gives 3.53 states/eV/f.u. The total magnetization is 0.000 μB per atom.

The structure belongs to space group I4mm (No. 107); the cell edges are 3.617, 3.617 and 12.455 Å and the angles 90.00°, 90.00° and 90.00°. The distinct sites, in fractional coordinates, are Er at (0.000, 0.000, 0.000), Th at (0.000, 0.000, 0.288) and Se at (0.000, 0.000, 0.635).

***

<Q> comes first in stability; the runner-up is 0.052 eV/atom higher.

***

<P>
DFT (PBE-GGA) results for a geometry-optimized Er3TmSe6 structure.

For the density of states at the Fermi level, the calculation gives 0.00 states/eV/f.u. The total magnetization is 0.000 μB per atom.

The structure belongs to space group R3 (No. 146, hexagonal axes); the cell edges are 7.1253, 7.1253 and 19.3191 Å and the angles 90.00°, 90.00° and 120.00°. The distinct sites, in fractional coordinates, are Er at (0.0000, 0.0000, 0.0000), Er at (0.0000, 0.0000, 0.1945), Er at (0.0000, 0.0000, 0.4996), Tm at (0.0000, 0.0000, 0.6940), Se at (0.9997, 0.6942, 0.5974) and Se at (0.0276, 0.3587, 0.7639).

***

<Q>
DFT (PBE-GGA) results for a geometry-optimized Er3TmSe6 structure.

For the density of states at the Fermi level, the calculation gives 0.00 states/eV/f.u. The total magnetization is 0.000 μB per atom.

The structure belongs to space group R-3 (No. 148, hexagonal axes); the cell edges are 11.8512, 11.8512 and 14.1829 Å and the angles 90.00°, 90.00° and 120.00°. The distinct sites, in fractional coordinates, are Er at (0.0532, 0.2720, 0.2014), Tm at (0.0000, 0.0000, 0.0000), Tm at (0.0000, 0.0000, 0.5000), Se at (0.0182, 0.2109, 0.3959) and Se at (0.0323, 0.1948, 0.8756).

***

<P> comes first in stability; the runner-up is 0.015 eV/atom higher.

***

<P>
DFT (PBE-GGA) results for a geometry-optimized ErTm2Se2 structure.

For the density of states at the Fermi level, the calculation gives 2.95 states/eV/f.u. The total magnetization is 0.000 μB per atom.

The structure belongs to space group I4/mmm (No. 139); the cell edges are 3.991, 3.991 and 15.897 Å and the angles 90.00°, 90.00° and 90.00°. The distinct sites, in fractional coordinates, are Er at (0.000, 0.000, 0.000), Tm at (0.000, 0.000, 0.357) and Se at (0.000, 0.000, 0.176).

***

<Q>
DFT (PBE-GGA) results for a geometry-optimized ErTm2Se2 structure.

For the density of states at the Fermi level, the calculation gives 3.54 states/eV/f.u. The total magnetization is 0.082 μB per atom.

The structure belongs to space group R-3m (No. 166, hexagonal axes); the cell edges are 3.8594, 3.8594 and 29.6164 Å and the angles 90.00°, 90.00° and 120.00°. The distinct sites, in fractional coordinates, are Er at (0.0000, 0.0000, 0.0000), Tm at (0.0000, 0.0000, 0.2120) and Se at (0.0000, 0.0000, 0.3923).

***

<Q> comes first in stability; the runner-up is 0.052 eV/atom higher.

***

<P>
DFT (PBE-GGA) results for a geometry-optimized ErTm3Se4 structure.

For the density of states at the Fermi level, the calculation gives 5.24 states/eV/f.u. The total magnetization is 0.000 μB per atom.

The structure belongs to space group Pm-3m (No. 221); the cell edges are 5.688, 5.688 and 5.688 Å and the angles 90.00°, 90.00° and 90.00°. The distinct sites, in fractional coordinates, are Er at (0.000, 0.000, 0.000), Tm at (0.000, 0.500, 0.500), Se at (0.000, 0.000, 0.500) and Se at (0.500, 0.500, 0.500).

***

<Q>
DFT (PBE-GGA) results for a geometry-optimized ErTm3Se4 structure.

For the density of states at the Fermi level, the calculation gives 3.36 states/eV/f.u. The total magnetization is 0.000 μB per atom.

The structure belongs to space group P2/c (No. 13); the cell edges are 6.994, 7.947 and 6.998 Å and the angles 90.00°, 109.16° and 90.00°. The distinct sites, in fractional coordinates, are Er at (0.000, 0.125, 0.250), Tm at (0.000, 0.374, 0.750), Tm at (0.500, 0.125, 0.750), Tm at (0.500, 0.375, 0.250), Se at (0.251, 0.126, 0.000) and Se at (0.251, 0.376, 0.501).

***

<Q> comes first in stability; the runner-up is 0.013 eV/atom higher.

***

<P>
DFT (PBE-GGA) results for a geometry-optimized YErSe2 structure.

For the density of states at the Fermi level, the calculation gives 1.10 states/eV/f.u. The total magnetization is 0.000 μB per atom.

The structure belongs to space group R3m (No. 160, hexagonal axes); the cell edges are 3.9425, 3.9425 and 21.3475 Å and the angles 90.00°, 90.00° and 120.00°. The distinct sites, in fractional coordinates, are Y at (0.0000, 0.0000, 0.0000), Er at (0.0000, 0.0000, 0.8234), Se at (0.0000, 0.0000, 0.4115) and Se at (0.0000, 0.0000, 0.5784).

***

<Q>
DFT (PBE-GGA) results for a geometry-optimized YErSe2 structure.

For the density of states at the Fermi level, the calculation gives 1.94 states/eV/f.u. The total magnetization is 0.000 μB per atom.

The structure belongs to space group R-3m (No. 166, hexagonal axes); the cell edges are 4.0678, 4.0678 and 19.8396 Å and the angles 90.00°, 90.00° and 120.00°. The distinct sites, in fractional coordinates, are Y at (0.0000, 0.0000, 0.0000), Er at (0.0000, 0.0000, 0.5000) and Se at (0.0000, 0.0000, 0.2483).

***

<Q> comes first in stability; the runner-up is 0.006 eV/atom higher.

***

<P>
DFT (PBE-GGA) results for a geometry-optimized YEr6Se8 structure.

For the density of states at the Fermi level, the calculation gives 5.98 states/eV/f.u. The total magnetization is 0.000 μB per atom.

The structure belongs to space group Fm-3m (No. 225); the cell edges are 11.385, 11.385 and 11.385 Å and the angles 90.00°, 90.00° and 90.00°. The distinct sites, in fractional coordinates, are Y at (0.000, 0.000, 0.000), Er at (0.000, 0.250, 0.250), Se at (0.000, 0.000, 0.256) and Se at (0.250, 0.250, 0.250).

***

<Q>
DFT (PBE-GGA) results for a geometry-optimized YEr6Se8 structure.

For the density of states at the Fermi level, the calculation gives 8.18 states/eV/f.u. The total magnetization is 0.175 μB per atom.

The structure belongs to space group R-3 (No. 148, hexagonal axes); the cell edges are 11.7031, 11.7031 and 12.3034 Å and the angles 90.00°, 90.00° and 120.00°. The distinct sites, in fractional coordinates, are Y at (0.0000, 0.0000, 0.0000), Er at (0.0061, 0.1853, 0.3788), Se at (0.0000, 0.0000, 0.2262) and Se at (0.0177, 0.2829, 0.5913).

***

<P> comes first in stability; the runner-up is 0.344 eV/atom higher.